Nd2Al2Fe15: relaxed, PBE-GGA.

Values from the calculation:
Symmetry = R-3m (166)
Formation energy = -0.039 eV/atom
ρ = 7.50 g cm⁻³
M_tot = 28.9 μB per cell

Unit cell a=6.449 b=6.449 c=6.449 alpha=82.03 beta=82.03 gamma=82.03
Each line ends with the local moment (μB).
Positions (direct):
1 Fe 0.290 0.710 0.000  2.20
2 Fe 0.500 0.000 0.000  1.75
3 Fe 0.660 0.157 0.660  2.02
4 Fe 0.660 0.660 0.157  2.02
5 Fe 0.710 0.000 0.290  2.20
6 Fe 0.843 0.340 0.340  2.02
7 Fe 0.000 0.710 0.290  2.20
8 Fe 0.340 0.843 0.340  2.02
9 Fe 0.000 0.500 0.000  1.75
10 Fe 0.340 0.340 0.843  2.02
11 Fe 0.710 0.290 0.000  2.20
12 Fe 0.290 0.000 0.710  2.20
13 Fe 0.000 0.000 0.500  1.75
14 Fe 0.000 0.290 0.710  2.20
15 Fe 0.157 0.660 0.660  2.02
16 Nd 0.653 0.653 0.653  -0.27
17 Nd 0.347 0.347 0.347  -0.27
18 Al 0.101 0.101 0.101  -0.07
19 Al 0.899 0.899 0.899  -0.07